Entry 1:
A plane-wave DFT calculation with PBE was carried out for an optimized crystal structure of PaAl2TcO8.

a = 6.5528 Å, b = 6.5747 Å, c = 6.2571 Å
α = 90.00°, β = 90.00°, γ = 90.00°
With the nearest neighbours (Å) after each atom.
Space group Cmmm (No. 65)
Asymmetric unit:
Pa 0.0000 0.0000 0.0000 x2  6 O 2.10-2.21
Al 0.0000 0.5000 0.2606 x4  6 O 1.89-2.01
Tc 0.0000 0.0000 0.5000 x2  6 O 1.97-1.99
O 0.0000 0.2121 0.2735 x8  1 Al 1.89, 1 Tc 1.99
O 0.1790 0.5000 0.0000 x4  2 Al 2.01, 1 Pa 2.10
O 0.1991 0.5000 0.5000 x4  1 Tc 1.97, 2 Al 1.99

Values from the calculation:
ΔE_f (raw) = -2.568 eV per atom
Theoretical density = 6.295 g cm⁻³
Crystal system = orthorhombic
D(E_F) = 4.24 states/eV/cell


Entry 2:
A plane-wave DFT calculation with PBE was carried out for an optimized crystal structure of HfAsN2F.

a = 3.9902 Å, b = 3.9902 Å, c = 3.8015 Å
α = 90.00°, β = 90.00°, γ = 90.00°
With the nearest neighbours (Å) after each atom.
Space group P4/mmm (No. 123)
Asymmetric unit:
Hf 0.0000 0.0000 0.0000 x1  8 N 2.76, 4 F 2.82
As 0.5000 0.5000 0.5000 x1  2 F 1.90, 4 N 2.00
N 0.0000 0.5000 0.5000 x2  2 As 2.00
F 0.5000 0.5000 0.0000 x1  2 As 1.90

Values from the calculation:
ΔE_f (raw) = 0.158 eV per atom
Energy above the lowest structure with this stoichiometry = 597 meV/atom
Theoretical density = 8.242 g cm⁻³
Crystal system = tetragonal
D(E_F) = 1.50 states/eV/cell


Entry 3:
A plane-wave DFT calculation with PBE was carried out for an optimized crystal structure of CsPmAlTe3.

a = 22.5993 Å, b = 4.4777 Å, c = 10.2438 Å
α = 90.00°, β = 107.16°, γ = 90.00°
With the nearest neighbours (Å) after each atom.
Space group C2/m (No. 12)
Asymmetric unit:
Cs 0.1282 0.0000 0.0142 x4  6 Te 3.82-4.02
Pm 0.1658 0.0000 0.5115 x4  6 Te 3.11-3.32
Al 0.0191 0.5000 0.6282 x4  1 Al 2.51, 3 Te 2.67-2.76
Te 0.0276 0.0000 0.2792 x4  2 Al 2.76
Te 0.1428 0.5000 0.7179 x4  1 Al 2.67
Te 0.1942 0.5000 0.3255 x4  3 Pm 3.11-3.13

Values from the calculation:
ΔE_f (raw) = -1.056 eV per atom
Theoretical density = 4.612 g cm⁻³
Crystal system = monoclinic